Below is crystalline LiTlSiPd at its relaxed geometry, with properties calculated at the PBE level.

VASP energy ... -3.833 eV/atom
E above lowest polymorph ... 0.0 meV per atom

Cell: 6.4901 6.4901 6.4901 Å, 90.00 90.00 90.00°
With the nearest neighbours (Å) after each atom.
Positions (direct):
Li (0.0000, 0.0000, 0.0000)  4 Tl 2.81, 4 Si 2.81
Li (0.0000, 0.5000, 0.5000)  4 Tl 2.81, 4 Si 2.81
Li (0.5000, 0.0000, 0.5000)  4 Tl 2.81, 4 Si 2.81
Li (0.5000, 0.5000, 0.0000)  4 Tl 2.81, 4 Si 2.81
Tl (0.2500, 0.2500, 0.2500)  4 Li 2.81, 4 Pd 2.81
Tl (0.2500, 0.7500, 0.7500)  4 Li 2.81, 4 Pd 2.81
Tl (0.7500, 0.2500, 0.7500)  4 Li 2.81, 4 Pd 2.81
Tl (0.7500, 0.7500, 0.2500)  4 Li 2.81, 4 Pd 2.81
Si (0.2500, 0.2500, 0.7500)  4 Li 2.81, 4 Pd 2.81
Si (0.2500, 0.7500, 0.2500)  4 Li 2.81, 4 Pd 2.81
Si (0.7500, 0.2500, 0.2500)  4 Li 2.81, 4 Pd 2.81
Si (0.7500, 0.7500, 0.7500)  4 Li 2.81, 4 Pd 2.81
Pd (0.0000, 0.0000, 0.5000)  4 Tl 2.81, 4 Si 2.81
Pd (0.0000, 0.5000, 0.0000)  4 Tl 2.81, 4 Si 2.81
Pd (0.5000, 0.0000, 0.0000)  4 Tl 2.81, 4 Si 2.81
Pd (0.5000, 0.5000, 0.5000)  4 Tl 2.81, 4 Si 2.81

***

Below is crystalline GdO2 at its relaxed geometry, with properties calculated at the PBE level.

VASP energy ... -5.507 eV/atom

Cell: 4.6063 4.6063 4.6063 Å, 60.00 60.00 60.00°
With the nearest neighbours (Å) after each atom.
Positions (direct):
Gd (0.1250, 0.1250, 0.1250)  12 O 2.70, 4 Gd 2.82
Gd (0.8750, 0.8750, 0.8750)  12 O 2.70, 4 Gd 2.82
O (0.0000, 0.5000, 0.5000)  6 O 2.30
O (0.5000, 0.0000, 0.5000)  6 O 2.30
O (0.5000, 0.5000, 0.0000)  6 O 2.30
O (0.5000, 0.5000, 0.5000)  6 O 2.30

***

Below is crystalline RbInCoS3 at its relaxed geometry, with properties calculated at the PBE level.

VASP energy ... -4.519 eV/atom

Cell: 8.9060 3.7841 9.4248 Å, 90.00 109.80 90.00°
With the nearest neighbours (Å) after each atom.
Positions (direct):
Rb (0.2086, 0.2500, 0.2428)  7 S 3.32-3.57
Rb (0.7914, 0.7500, 0.7572)  7 S 3.32-3.57
In (0.3350, 0.7500, 0.8760)  5 S 2.58-2.64
In (0.6650, 0.2500, 0.1240)  5 S 2.58-2.64
Co (0.0743, 0.2500, 0.5853)  4 S 2.17-2.33
Co (0.9257, 0.7500, 0.4147)  4 S 2.17-2.33
S (0.1245, 0.2500, 0.8441)  1 Co 2.33
S (0.1799, 0.7500, 0.5379)  3 Co 2.17-2.22
S (0.4769, 0.7500, 0.1647)  3 In 2.58-2.64
S (0.5231, 0.2500, 0.8353)  3 In 2.58-2.64
S (0.8201, 0.2500, 0.4621)  3 Co 2.17-2.22
S (0.8755, 0.7500, 0.1559)  1 Co 2.33

***

Below is crystalline Er3Ta3W2N12 at its relaxed geometry, with properties calculated at the PBE level.

VASP energy ... -9.747 eV/atom

Cell: 11.0361 11.0361 11.0361 Å, 109.47 109.47 109.47°
With the nearest neighbours (Å) after each atom.
Positions (direct):
Er (0.1250, 0.2500, 0.3750)  8 N 2.46-2.53
Er (0.1250, 0.3750, 0.7500)  8 N 2.46-2.53
Er (0.2500, 0.3750, 0.1250)  8 N 2.46-2.53
Er (0.2500, 0.8750, 0.6250)  8 N 2.46-2.53
Er (0.3750, 0.1250, 0.2500)  8 N 2.46-2.53
Er (0.3750, 0.7500, 0.1250)  8 N 2.46-2.53
Er (0.6250, 0.2500, 0.8750)  8 N 2.46-2.53
Er (0.6250, 0.8750, 0.7500)  8 N 2.46-2.53
Er (0.7500, 0.1250, 0.3750)  8 N 2.46-2.53
Er (0.7500, 0.6250, 0.8750)  8 N 2.46-2.53
Er (0.8750, 0.6250, 0.2500)  8 N 2.46-2.53
Er (0.8750, 0.7500, 0.6250)  8 N 2.46-2.53
Ta (0.1250, 0.7500, 0.8750)  4 N 1.93
Ta (0.1250, 0.8750, 0.2500)  4 N 1.93
Ta (0.2500, 0.1250, 0.8750)  4 N 1.93
Ta (0.2500, 0.6250, 0.3750)  4 N 1.93
Ta (0.3750, 0.2500, 0.6250)  4 N 1.93
Ta (0.3750, 0.6250, 0.7500)  4 N 1.93
Ta (0.6250, 0.3750, 0.2500)  4 N 1.93
Ta (0.6250, 0.7500, 0.3750)  4 N 1.93
Ta (0.7500, 0.3750, 0.6250)  4 N 1.93
Ta (0.7500, 0.8750, 0.1250)  4 N 1.93
Ta (0.8750, 0.1250, 0.7500)  4 N 1.93
Ta (0.8750, 0.2500, 0.1250)  4 N 1.93
W (0.0000, 0.0000, 0.0000)  6 N 2.03
W (0.0000, 0.0000, 0.5000)  6 N 2.03
W (0.0000, 0.5000, 0.0000)  6 N 2.03
W (0.0000, 0.5000, 0.5000)  6 N 2.03
W (0.5000, 0.0000, 0.0000)  6 N 2.03
W (0.5000, 0.0000, 0.5000)  6 N 2.03
W (0.5000, 0.5000, 0.0000)  6 N 2.03
W (0.5000, 0.5000, 0.5000)  6 N 2.03
N (0.0259, 0.2016, 0.1180)  1 Ta 1.93, 1 W 2.03
N (0.0259, 0.3243, 0.9079)  1 Ta 1.93, 1 W 2.03
N (0.0836, 0.7016, 0.6757)  1 Ta 1.93, 1 W 2.03
N (0.0836, 0.8820, 0.4079)  1 Ta 1.93, 1 W 2.03
N (0.0921, 0.6180, 0.4164)  1 Ta 1.93, 1 W 2.03
N (0.0921, 0.9741, 0.6757)  1 Ta 1.93, 1 W 2.03
N (0.1180, 0.0259, 0.2016)  1 Ta 1.93, 1 W 2.03
N (0.1180, 0.5921, 0.9164)  1 Ta 1.93, 1 W 2.03
N (0.1757, 0.2016, 0.5836)  1 Ta 1.93, 1 W 2.03
N (0.1757, 0.4741, 0.5921)  1 Ta 1.93, 1 W 2.03
N (0.2016, 0.1180, 0.0259)  1 Ta 1.93, 1 W 2.03
N (0.2016, 0.5836, 0.1757)  1 Ta 1.93, 1 W 2.03
N (0.2984, 0.3243, 0.9164)  1 Ta 1.93, 1 W 2.03
N (0.2984, 0.4741, 0.3820)  1 Ta 1.93, 1 W 2.03
N (0.3243, 0.9079, 0.0259)  1 Ta 1.93, 1 W 2.03
N (0.3243, 0.9164, 0.2984)  1 Ta 1.93, 1 W 2.03
N (0.3820, 0.2984, 0.4741)  1 Ta 1.93, 1 W 2.03
N (0.3820, 0.5836, 0.9079)  1 Ta 1.93, 1 W 2.03
N (0.4079, 0.0836, 0.8820)  1 Ta 1.93, 1 W 2.03
N (0.4079, 0.8243, 0.5259)  1 Ta 1.93, 1 W 2.03
N (0.4164, 0.0921, 0.6180)  1 Ta 1.93, 1 W 2.03
N (0.4164, 0.8243, 0.7984)  1 Ta 1.93, 1 W 2.03
N (0.4741, 0.3820, 0.2984)  1 Ta 1.93, 1 W 2.03
N (0.4741, 0.5921, 0.1757)  1 Ta 1.93, 1 W 2.03
N (0.5259, 0.4079, 0.8243)  1 Ta 1.93, 1 W 2.03
N (0.5259, 0.6180, 0.7016)  1 Ta 1.93, 1 W 2.03
N (0.5836, 0.1757, 0.2016)  1 Ta 1.93, 1 W 2.03
N (0.5836, 0.9079, 0.3820)  1 Ta 1.93, 1 W 2.03
N (0.5921, 0.1757, 0.4741)  1 Ta 1.93, 1 W 2.03
N (0.5921, 0.9164, 0.1180)  1 Ta 1.93, 1 W 2.03
N (0.6180, 0.4164, 0.0921)  1 Ta 1.93, 1 W 2.03
N (0.6180, 0.7016, 0.5259)  1 Ta 1.93, 1 W 2.03
N (0.6757, 0.0836, 0.7016)  1 Ta 1.93, 1 W 2.03
N (0.6757, 0.0921, 0.9741)  1 Ta 1.93, 1 W 2.03
N (0.7016, 0.5259, 0.6180)  1 Ta 1.93, 1 W 2.03
N (0.7016, 0.6757, 0.0836)  1 Ta 1.93, 1 W 2.03
N (0.7984, 0.4164, 0.8243)  1 Ta 1.93, 1 W 2.03
N (0.7984, 0.8820, 0.9741)  1 Ta 1.93, 1 W 2.03
N (0.8243, 0.5259, 0.4079)  1 Ta 1.93, 1 W 2.03
N (0.8243, 0.7984, 0.4164)  1 Ta 1.93, 1 W 2.03
N (0.8820, 0.4079, 0.0836)  1 Ta 1.93, 1 W 2.03
N (0.8820, 0.9741, 0.7984)  1 Ta 1.93, 1 W 2.03
N (0.9079, 0.0259, 0.3243)  1 Ta 1.93, 1 W 2.03
N (0.9079, 0.3820, 0.5836)  1 Ta 1.93, 1 W 2.03
N (0.9164, 0.1180, 0.5921)  1 Ta 1.93, 1 W 2.03
N (0.9164, 0.2984, 0.3243)  1 Ta 1.93, 1 W 2.03
N (0.9741, 0.6757, 0.0921)  1 Ta 1.93, 1 W 2.03
N (0.9741, 0.7984, 0.8820)  1 Ta 1.93, 1 W 2.03

***

Below is crystalline SrLu2Sc at its relaxed geometry, with properties calculated at the PBE level.

VASP energy ... -3.946 eV/atom

Cell: 7.9741 7.9741 7.9741 Å, 90.00 90.00 90.00°
With the nearest neighbours (Å) after each atom.
Positions (direct):
Sr (0.0000, 0.0000, 0.0000)  4 Lu 3.45, 4 Sc 3.45
Sr (0.0000, 0.5000, 0.5000)  4 Lu 3.45, 4 Sc 3.45
Sr (0.5000, 0.0000, 0.5000)  4 Lu 3.45, 4 Sc 3.45
Sr (0.5000, 0.5000, 0.0000)  4 Lu 3.45, 4 Sc 3.45
Lu (0.0000, 0.0000, 0.5000)  4 Sc 3.45, 4 Lu 3.45
Lu (0.0000, 0.5000, 0.0000)  4 Sc 3.45, 4 Lu 3.45
Lu (0.2500, 0.2500, 0.2500)  4 Sr 3.45, 4 Lu 3.45
Lu (0.2500, 0.7500, 0.7500)  4 Sr 3.45, 4 Lu 3.45
Lu (0.5000, 0.0000, 0.0000)  4 Sc 3.45, 4 Lu 3.45
Lu (0.5000, 0.5000, 0.5000)  4 Sc 3.45, 4 Lu 3.45
Lu (0.7500, 0.2500, 0.7500)  4 Sr 3.45, 4 Lu 3.45
Lu (0.7500, 0.7500, 0.2500)  4 Sr 3.45, 4 Lu 3.45
Sc (0.2500, 0.2500, 0.7500)  4 Sr 3.45, 4 Lu 3.45
Sc (0.2500, 0.7500, 0.2500)  4 Sr 3.45, 4 Lu 3.45
Sc (0.7500, 0.2500, 0.2500)  4 Sr 3.45, 4 Lu 3.45
Sc (0.7500, 0.7500, 0.7500)  4 Sr 3.45, 4 Lu 3.45

***

Below is crystalline Sm2Al3Tc at its relaxed geometry, with properties calculated at the PBE level.

VASP energy ... -5.636 eV/atom

Cell: 5.6097 5.6097 8.9608 Å, 90.00 90.00 120.00°
With the nearest neighbours (Å) after each atom.
Positions (direct):
Sm (0.3333, 0.6667, 0.0515)  9 Al 3.18-3.32, 3 Tc 3.27, 4 Sm 3.37-3.56
Sm (0.3333, 0.6667, 0.4485)  9 Al 3.18-3.32, 3 Tc 3.27, 4 Sm 3.37-3.56
Sm (0.6667, 0.3333, 0.5515)  9 Al 3.18-3.32, 3 Tc 3.27, 4 Sm 3.37-3.56
Sm (0.6667, 0.3333, 0.9485)  9 Al 3.18-3.32, 3 Tc 3.27, 4 Sm 3.37-3.56
Al (0.1606, 0.3211, 0.7500)  4 Al 2.70-2.91, 2 Tc 2.73
Al (0.1606, 0.8394, 0.7500)  4 Al 2.70-2.91, 2 Tc 2.73
Al (0.3211, 0.1606, 0.2500)  4 Al 2.70-2.91, 2 Tc 2.73
Al (0.6789, 0.8394, 0.7500)  4 Al 2.70-2.91, 2 Tc 2.73
Al (0.8394, 0.1606, 0.2500)  4 Al 2.70-2.91, 2 Tc 2.73
Al (0.8394, 0.6789, 0.2500)  4 Al 2.70-2.91, 2 Tc 2.73
Tc (0.0000, 0.0000, 0.0000)  6 Al 2.73
Tc (0.0000, 0.0000, 0.5000)  6 Al 2.73

***

Below is crystalline GdDyPO at its relaxed geometry, with properties calculated at the PBE level.

VASP energy ... -6.923 eV/atom
E above lowest polymorph ... 0.0 meV per atom

Cell: 4.1799 7.5074 5.7417 Å, 90.00 90.00 90.00°
With the nearest neighbours (Å) after each atom.
Positions (direct):
Gd (0.0000, 0.2006, 0.0000)  2 O 2.33
Gd (0.0000, 0.7994, 0.5000)  2 O 2.33
Dy (0.5000, 0.3791, 0.5603)  2 O 2.24-2.28
Dy (0.5000, 0.6209, 0.0603)  2 O 2.24-2.28
P (0.0000, 0.1646, 0.4955)  2 Dy 2.66, 3 Gd 2.74-2.91
P (0.0000, 0.8354, 0.9955)  2 Dy 2.66, 3 Gd 2.74-2.91
O (0.5000, 0.3300, 0.9447)  2 Dy 2.24-2.28, 2 Gd 2.33
O (0.5000, 0.6700, 0.4447)  2 Dy 2.24-2.28, 2 Gd 2.33

***

Below is crystalline Te5Au4 at its relaxed geometry, with properties calculated at the PBE level.

VASP energy ... -2.879 eV/atom

Cell: 5.6278 5.6278 8.7561 Å, 90.00 90.00 120.00°
With the nearest neighbours (Å) after each atom.
Positions (direct):
Te (0.0000, 0.0000, 0.0000)  6 Au 2.81
Te (0.3333, 0.6667, 0.3351)  1 Te 2.89
Te (0.3333, 0.6667, 0.6649)  1 Te 2.89
Te (0.6667, 0.3333, 0.3351)  1 Te 2.89
Te (0.6667, 0.3333, 0.6649)  1 Te 2.89
Au (0.0000, 0.0000, 0.5000)  12 Te 3.56
Au (0.0000, 0.5000, 0.0000)  2 Te 2.81, 4 Au 2.81
Au (0.5000, 0.0000, 0.0000)  2 Te 2.81, 4 Au 2.81
Au (0.5000, 0.5000, 0.0000)  2 Te 2.81, 4 Au 2.81